Record 1
Hf2MnSbW: relaxed, GGA-PBE.

Cell: 4.709 4.709 4.648 Å, 90.00 90.00 90.00°
Atoms (fractional coordinates):
Hf  0.000  0.500  0.000
Hf  0.500  0.000  0.000
Mn  0.000  0.000  0.000
Sb  0.000  0.000  0.500
W  0.500  0.500  0.500

Properties
formation energy from raw total energies: 0.86 eV/atom

=====

Record 2
PmHoP2O8: relaxed, GGA-PBE.

Cell: 5.262 5.262 7.085 Å, 90.00 90.00 120.00°
Atoms (fractional coordinates):
Pm  0.000  0.000  0.000
Ho  0.000  0.000  0.500
P  0.333  0.667  0.797
P  0.667  0.333  0.203
O  0.173  0.346  0.722
O  0.173  0.827  0.722
O  0.333  0.667  0.013
O  0.346  0.173  0.278
O  0.654  0.827  0.722
O  0.667  0.333  0.987
O  0.827  0.173  0.278
O  0.827  0.654  0.278

Properties
formation energy from raw total energies: -2.90 eV/atom